PBE Ba3CeTi2O9, optimized geometry; density of states at the Fermi level = 0.0 states/eV per cell; V = 218.44 Å³/cell; space group = P-3m1, No. 164; formation energy from raw total energies = -3.083 eV per atom
1.0
-0.551 -2.864 -5.113
0.841 -3.014 4.986
-7.202 -0.376 0.987
O Ti Ce Ba
9 2 1 3
direct
0.500 0.500 0.000
0.824 0.176 0.683
0.000 0.500 0.000
0.176 0.353 0.317
0.647 0.824 0.317
0.500 0.000 0.000
0.824 0.647 0.683
0.353 0.176 0.683
0.176 0.824 0.317
0.667 0.333 0.842
0.333 0.667 0.158
0.000 0.000 0.500
0.333 0.667 0.681
0.667 0.333 0.319
0.000 0.000 0.000